[1]
Material: KCuOs
Method: DFT, GGA-PBE
State: optimized geometry

It has space group I4mm (No. 107), with a = 3.173 Å, b = 3.173 Å, c = 12.518 Å, α = 90.00°, β = 90.00° and γ = 90.00°. The inequivalent atoms are K at (0.000, 0.000, 0.000), Cu at (0.000, 0.000, 0.291) and Os at (0.000, 0.000, 0.713).

The electronic total energy is -13.3 eV/f.u. The size of the total moment is 0.05 μB/atom. Its energy of formation is 1046 meV per atom. As for the distance to the lowest polymorph of the same formula: 232.5 meV/atom. As for the crystal system: tetragonal. The volume is 63.0 Å³/f.u.

=====

[2]
Material: Tb4Pm9Sm11
Method: DFT, GGA-PBE
State: optimized geometry

It has space group Cmmm (No. 65), with a = 16.976 Å, b = 26.052 Å, c = 3.700 Å, α = 90.00°, β = 90.00° and γ = 90.00°. The inequivalent atoms are Tb at (0.158, 0.101, 0.000), Pm at (0.000, 0.000, 0.000), Pm at (0.103, 0.232, 0.000), Pm at (0.137, 0.425, 0.000), Sm at (0.000, 0.131, 0.500), Sm at (0.000, 0.337, 0.500), Sm at (0.000, 0.500, 0.500), Sm at (0.212, 0.000, 0.500) and Sm at (0.223, 0.319, 0.500).

The electronic total energy is -111.8 eV/f.u. The size of the total moment is 0.00 μB/atom. Its energy of formation is 56 meV per atom. As for the crystal system: orthorhombic. The volume is 818.1 Å³/f.u.

=====

[3]
Material: YScAl2
Method: DFT, GGA-PBE
State: optimized geometry

It has space group Fm-3m (No. 225), with a = 6.991 Å, b = 6.991 Å, c = 6.991 Å, α = 90.00°, β = 90.00° and γ = 90.00°. The inequivalent atoms are Y at (0.000, 0.000, 0.000), Sc at (0.000, 0.000, 0.500) and Al at (0.250, 0.250, 0.250).

The electronic total energy is -21.9 eV/f.u. The size of the total moment is 0.00 μB/atom. Its energy of formation is -415 meV per atom. As for the distance to the lowest polymorph of the same formula: 15.0 meV/atom. As for the crystal system: cubic. The volume is 85.4 Å³/f.u.

=====

[4]
Material: Ac2MgP3Rh12
Method: DFT, GGA-PBE
State: optimized geometry

It has space group R-3m (No. 166, hexagonal axes), with a = 8.5661 Å, b = 8.5661 Å, c = 15.4949 Å, α = 90.00°, β = 90.00° and γ = 120.00°. The inequivalent atoms are Ac at (0.0000, 0.0000, 0.1106), Mg at (0.0000, 0.0000, 0.5000), P at (0.0000, 0.5000, 0.0000), Rh at (0.0010, 0.5005, 0.8587) and Rh at (0.0574, 0.5287, 0.3541).

The electronic total energy is -119.0 eV/f.u. The size of the total moment is 0.00 μB/atom. Its energy of formation is -264 meV per atom. As for the crystal system: trigonal. The volume is 328.2 Å³/f.u.

=====

[5]
Material: Pb4WAu
Method: DFT, GGA-PBE
State: optimized geometry

It has space group F-43m (No. 216), with a = 8.830 Å, b = 8.830 Å, c = 8.830 Å, α = 90.00°, β = 90.00° and γ = 90.00°. The inequivalent atoms are Pb at (0.124, 0.124, 0.124), W at (0.250, 0.250, 0.750) and Au at (0.000, 0.000, 0.500).

The electronic total energy is -24.2 eV/f.u. The size of the total moment is 0.56 μB/atom. Its energy of formation is 1147 meV per atom. As for the crystal system: cubic. The volume is 172.1 Å³/f.u.

=====

[6]
Material: In3Sn2Hg
Method: DFT, GGA-PBE
State: optimized geometry

It has space group Cmcm (No. 63), with a = 6.722 Å, b = 15.181 Å, c = 6.610 Å, α = 90.00°, β = 90.00° and γ = 90.00°. The inequivalent atoms are In at (0.000, 0.142, 0.250), In at (0.246, 0.323, 0.250), Sn at (0.237, 0.500, 0.000) and Hg at (0.000, 0.343, 0.750).

The electronic total energy is -16.1 eV/f.u. The size of the total moment is 0.00 μB/atom. Its energy of formation is 64 meV per atom. As for the distance to the lowest polymorph of the same formula: 34.4 meV/atom. As for the crystal system: orthorhombic. The volume is 168.6 Å³/f.u.

=====

[7]
Material: NaInGeTe3
Method: DFT, GGA-PBE
State: optimized geometry

It has space group P2_1/m (No. 11), with a = 8.841 Å, b = 4.459 Å, c = 12.075 Å, α = 90.00°, β = 111.04° and γ = 90.00°. The inequivalent atoms are Na at (0.208, 0.250, 0.150), In at (0.070, 0.250, 0.634), Ge at (0.330, 0.750, 0.889), Te at (0.056, 0.250, 0.857), Te at (0.232, 0.750, 0.573) and Te at (0.457, 0.750, 0.133).

The calculation puts the raw formation energy at -0.37 eV per atom. The electronic total energy is -20.3 eV/f.u. The size of the total moment is 0.00 μB/atom. As for the crystal system: monoclinic. The volume is 222.1 Å³/f.u.

=====

[8]
Material: RbAlCo2Bi
Method: DFT, GGA-PBE
State: optimized geometry

It has space group P4/mmm (No. 123), with a = 4.754 Å, b = 4.754 Å, c = 5.654 Å, α = 90.00°, β = 90.00° and γ = 90.00°. The inequivalent atoms are Rb at (0.000, 0.000, 0.000), Al at (0.000, 0.000, 0.500), Co at (0.000, 0.500, 0.500) and Bi at (0.500, 0.500, 0.000).

The electronic total energy is -17.3 eV/f.u. The size of the total moment is 0.62 μB/atom. Its energy of formation is 1094 meV per atom. As for the crystal system: tetragonal. The volume is 127.8 Å³/f.u.

=====

Copy entry 6 word for word.
Material: In3Sn2Hg
Method: DFT, GGA-PBE
State: optimized geometry

It has space group Cmcm (No. 63), with a = 6.722 Å, b = 15.181 Å, c = 6.610 Å, α = 90.00°, β = 90.00° and γ = 90.00°. The inequivalent atoms are In at (0.000, 0.142, 0.250), In at (0.246, 0.323, 0.250), Sn at (0.237, 0.500, 0.000) and Hg at (0.000, 0.343, 0.750).

The electronic total energy is -16.1 eV/f.u. The size of the total moment is 0.00 μB/atom. Its energy of formation is 64 meV per atom. As for the distance to the lowest polymorph of the same formula: 34.4 meV/atom. As for the crystal system: orthorhombic. The volume is 168.6 Å³/f.u.

=====

- Among the records above, which one has the highest electronic total energy?
  KCuOs

=====

Please write out number 3 again, unchanged.
Material: YScAl2
Method: DFT, GGA-PBE
State: optimized geometry

It has space group Fm-3m (No. 225), with a = 6.991 Å, b = 6.991 Å, c = 6.991 Å, α = 90.00°, β = 90.00° and γ = 90.00°. The inequivalent atoms are Y at (0.000, 0.000, 0.000), Sc at (0.000, 0.000, 0.500) and Al at (0.250, 0.250, 0.250).

The electronic total energy is -21.9 eV/f.u. The size of the total moment is 0.00 μB/atom. Its energy of formation is -415 meV per atom. As for the distance to the lowest polymorph of the same formula: 15.0 meV/atom. As for the crystal system: cubic. The volume is 85.4 Å³/f.u.

=====

Copy entry 3 word for word.
Material: YScAl2
Method: DFT, GGA-PBE
State: optimized geometry

It has space group Fm-3m (No. 225), with a = 6.991 Å, b = 6.991 Å, c = 6.991 Å, α = 90.00°, β = 90.00° and γ = 90.00°. The inequivalent atoms are Y at (0.000, 0.000, 0.000), Sc at (0.000, 0.000, 0.500) and Al at (0.250, 0.250, 0.250).

The electronic total energy is -21.9 eV/f.u. The size of the total moment is 0.00 μB/atom. Its energy of formation is -415 meV per atom. As for the distance to the lowest polymorph of the same formula: 15.0 meV/atom. As for the crystal system: cubic. The volume is 85.4 Å³/f.u.